No. 1
Computed, not measured: crystalline Re2HW at its relaxed geometry at the GGA-PBEsol level of DFT.

volume	53.2	Å³/cell
total moment	0.00	μB per formula unit
mass density	17410	kg/m3
total energy	-10.048	eV per atom

Structure (CIF):
```
data_Re2HW
_chemical_formula_sum 'Re2 H1 W1'
_space_group_name_H-M_alt 'P 1'
_space_group_IT_number 1
_space_group_name_Hall 'P 1'
_cell_length_a 4.220
_cell_length_b 4.220
_cell_length_c 4.220
_cell_angle_alpha 60.00
_cell_angle_beta 60.00
_cell_angle_gamma 60.00
loop_
_atom_site_label
_atom_site_type_symbol
_atom_site_fract_x
_atom_site_fract_y
_atom_site_fract_z
_atom_site_occupancy
Re1 Re 0.250 0.250 0.250 1
H1 H 0.000 0.000 0.000 1
W1 W 0.500 0.500 0.500 1
Re2 Re 0.750 0.750 0.750 1
```



No. 2
Computed, not measured: crystalline ScNi3H at its relaxed geometry at the GGA-PBEsol level of DFT.

volume	50.4	Å³/cell
total moment	0.00	μB per formula unit
mass density	7319	kg/m3
relative energy among the computed polymorphs	0.021	eV per atom

Structure (CIF):
```
data_ScNi3H
_chemical_formula_sum 'Sc1 Ni3 H1'
_space_group_name_H-M_alt 'P 1'
_space_group_IT_number 1
_space_group_name_Hall 'P 1'
_cell_length_a 3.693
_cell_length_b 3.693
_cell_length_c 3.693
_cell_angle_alpha 90.00
_cell_angle_beta 90.00
_cell_angle_gamma 90.00
loop_
_atom_site_label
_atom_site_type_symbol
_atom_site_fract_x
_atom_site_fract_y
_atom_site_fract_z
_atom_site_occupancy
Sc1 Sc 0.500 0.500 0.500 1
H1 H 0.000 0.000 0.000 1
Ni1 Ni 0.000 0.000 0.500 1
Ni2 Ni 0.500 0.000 0.000 1
Ni3 Ni 0.000 0.500 0.000 1
```



No. 3
Computed, not measured: crystalline CaZrSc2 at its relaxed geometry at the GGA-PBEsol level of DFT.

volume	104.3	Å³/cell
total moment	0.00	μB per formula unit
mass density	3522	kg/m3
relative energy among the computed polymorphs	0.000	eV per atom
energy of formation	18.92	kJ/mol of atoms

Structure (CIF):
```
data_CaZrSc2
_chemical_formula_sum 'Ca1 Zr1 Sc2'
_space_group_name_H-M_alt 'P 1'
_space_group_IT_number 1
_space_group_name_Hall 'P 1'
_cell_length_a 3.311
_cell_length_b 4.289
_cell_length_c 7.346
_cell_angle_alpha 90.00
_cell_angle_beta 90.00
_cell_angle_gamma 90.00
loop_
_atom_site_label
_atom_site_type_symbol
_atom_site_fract_x
_atom_site_fract_y
_atom_site_fract_z
_atom_site_occupancy
Sc1 Sc 0.000 0.000 0.044 1
Ca1 Ca 0.500 0.500 0.739 1
Sc2 Sc 0.500 0.500 0.264 1
Zr1 Zr 0.000 0.000 0.453 1
```



No. 4
Computed, not measured: crystalline Li3Hg at its relaxed geometry at the GGA-PBEsol level of DFT.

volume	137.8	Å³/cell
total moment	0.00	μB per formula unit
mass density	5336	kg/m3
relative energy among the computed polymorphs	0.025	eV per atom
energy of formation	-27.31	kJ/mol of atoms

Structure (CIF):
```
data_Li3Hg
_chemical_formula_sum 'Li6 Hg2'
_space_group_name_H-M_alt 'P 1'
_space_group_IT_number 1
_space_group_name_Hall 'P 1'
_cell_length_a 4.615
_cell_length_b 5.467
_cell_length_c 5.467
_cell_angle_alpha 92.38
_cell_angle_beta 90.00
_cell_angle_gamma 90.00
loop_
_atom_site_label
_atom_site_type_symbol
_atom_site_fract_x
_atom_site_fract_y
_atom_site_fract_z
_atom_site_occupancy
Li1 Li 0.750 0.087 0.087 1
Li2 Li 0.750 0.579 0.187 1
Hg1 Hg 0.750 0.698 0.698 1
Li3 Li 0.250 0.813 0.421 1
Li4 Li 0.250 0.421 0.813 1
Li5 Li 0.750 0.187 0.579 1
Hg2 Hg 0.250 0.302 0.302 1
Li6 Li 0.250 0.913 0.913 1
```



No. 5
Computed, not measured: crystalline MnZn2Tc at its relaxed geometry at the GGA-PBEsol level of DFT.

volume	50.3	Å³/cell
total moment	0.10	μB per formula unit
mass density	9373	kg/m3
relative energy among the computed polymorphs	0.134	eV per atom
energy of formation	12.66	kJ/mol of atoms

Structure (CIF):
```
data_MnZn2Tc
_chemical_formula_sum 'Mn1 Zn2 Tc1'
_space_group_name_H-M_alt 'P 1'
_space_group_IT_number 1
_space_group_name_Hall 'P 1'
_cell_length_a 4.143
_cell_length_b 4.143
_cell_length_c 4.143
_cell_angle_alpha 60.00
_cell_angle_beta 60.00
_cell_angle_gamma 60.00
loop_
_atom_site_label
_atom_site_type_symbol
_atom_site_fract_x
_atom_site_fract_y
_atom_site_fract_z
_atom_site_occupancy
Zn1 Zn 0.750 0.750 0.750 1
Tc1 Tc 0.250 0.250 0.250 1
Zn2 Zn 0.000 0.000 0.000 1
Mn1 Mn 0.500 0.500 0.500 1
```



No. 6
Computed, not measured: crystalline Mg2AlSe at its relaxed geometry at the GGA-PBEsol level of DFT.

volume	80.4	Å³/cell
total moment	0.00	μB per formula unit
mass density	3193	kg/m3
total energy	-3.088	eV per atom

Structure (CIF):
```
data_Mg2AlSe
_chemical_formula_sum 'Mg2 Al1 Se1'
_space_group_name_H-M_alt 'P 1'
_space_group_IT_number 1
_space_group_name_Hall 'P 1'
_cell_length_a 3.499
_cell_length_b 4.903
_cell_length_c 4.903
_cell_angle_alpha 107.16
_cell_angle_beta 90.00
_cell_angle_gamma 90.00
loop_
_atom_site_label
_atom_site_type_symbol
_atom_site_fract_x
_atom_site_fract_y
_atom_site_fract_z
_atom_site_occupancy
Al1 Al 0.500 0.500 0.500 1
Mg1 Mg 0.000 0.000 0.500 1
Mg2 Mg 0.000 0.500 0.000 1
Se1 Se 0.500 0.000 0.000 1
```



No. 7
Computed, not measured: crystalline LiYCl2 at its relaxed geometry at the GGA-PBEsol level of DFT.

volume	74.2	Å³/cell
total moment	0.00	μB per formula unit
mass density	3733	kg/m3
relative energy among the computed polymorphs	0.000	eV per atom

Structure (CIF):
```
data_LiYCl2
_chemical_formula_sum 'Li1 Y1 Cl2'
_space_group_name_H-M_alt 'P 1'
_space_group_IT_number 1
_space_group_name_Hall 'P 1'
_cell_length_a 3.452
_cell_length_b 3.452
_cell_length_c 7.461
_cell_angle_alpha 76.63
_cell_angle_beta 76.63
_cell_angle_gamma 60.00
loop_
_atom_site_label
_atom_site_type_symbol
_atom_site_fract_x
_atom_site_fract_y
_atom_site_fract_z
_atom_site_occupancy
Li1 Li 0.500 0.500 0.500 1
Cl1 Cl 0.236 0.236 0.293 1
Y1 Y 0.000 0.000 0.000 1
Cl2 Cl 0.764 0.764 0.707 1
```



No. 8
Computed, not measured: crystalline Li4MgSc at its relaxed geometry at the GGA-PBEsol level of DFT.

volume	115.7	Å³/cell
total moment	0.00	μB per formula unit
mass density	1393	kg/m3
energy of formation	6.98	kJ/mol of atoms

Structure (CIF):
```
data_Li4MgSc
_chemical_formula_sum 'Li4 Mg1 Sc1'
_space_group_name_H-M_alt 'P 1'
_space_group_IT_number 1
_space_group_name_Hall 'P 1'
_cell_length_a 5.469
_cell_length_b 5.469
_cell_length_c 5.469
_cell_angle_alpha 60.00
_cell_angle_beta 60.00
_cell_angle_gamma 60.00
loop_
_atom_site_label
_atom_site_type_symbol
_atom_site_fract_x
_atom_site_fract_y
_atom_site_fract_z
_atom_site_occupancy
Li1 Li 0.375 0.874 0.375 1
Li2 Li 0.874 0.375 0.375 1
Sc1 Sc 0.000 0.000 0.000 1
Li3 Li 0.375 0.375 0.874 1
Li4 Li 0.375 0.375 0.375 1
Mg1 Mg 0.750 0.750 0.750 1
```



No. 9
Computed, not measured: crystalline LaTi2Pt2 at its relaxed geometry at the GGA-PBEsol level of DFT.

volume	100.5	Å³/cell
total moment	0.00	μB per formula unit
mass density	10327	kg/m3
energy of formation	-81.14	kJ/mol of atoms

Structure (CIF):
```
data_LaTi2Pt2
_chemical_formula_sum 'La1 Ti2 Pt2'
_space_group_name_H-M_alt 'P 1'
_space_group_IT_number 1
_space_group_name_Hall 'P 1'
_cell_length_a 4.374
_cell_length_b 4.374
_cell_length_c 6.095
_cell_angle_alpha 111.03
_cell_angle_beta 111.03
_cell_angle_gamma 90.00
loop_
_atom_site_label
_atom_site_type_symbol
_atom_site_fract_x
_atom_site_fract_y
_atom_site_fract_z
_atom_site_occupancy
Ti1 Ti 0.750 0.250 0.500 1
Pt1 Pt 0.627 0.627 0.254 1
Pt2 Pt 0.373 0.373 0.746 1
Ti2 Ti 0.250 0.750 0.500 1
La1 La 0.000 0.000 0.000 1
```



No. 10
Computed, not measured: crystalline CrCdBr2 at its relaxed geometry at the GGA-PBEsol level of DFT.

volume	104.8	Å³/cell
total moment	4.00	μB per formula unit
mass density	5138	kg/m3
relative energy among the computed polymorphs	0.000	eV per atom

Structure (CIF):
```
data_CrCdBr2
_chemical_formula_sum 'Cr1 Cd1 Br2'
_space_group_name_H-M_alt 'P 1'
_space_group_IT_number 1
_space_group_name_Hall 'P 1'
_cell_length_a 3.633
_cell_length_b 3.633
_cell_length_c 9.405
_cell_angle_alpha 78.86
_cell_angle_beta 78.86
_cell_angle_gamma 60.00
loop_
_atom_site_label
_atom_site_type_symbol
_atom_site_fract_x
_atom_site_fract_y
_atom_site_fract_z
_atom_site_occupancy
Br1 Br 0.723 0.723 0.832 1
Br2 Br 0.277 0.277 0.168 1
Cd1 Cd 0.500 0.500 0.500 1
Cr1 Cr 0.000 0.000 0.000 1
```